1.
First-principles (PBE) data for a relaxed structure of K3LaV, as listed in Alexandria via LeMat-Bulk.

Lattice parameters (Å, degrees): 6.832 6.832 6.832 90.00 90.00 90.00
Space group Pm-3m (No. 221)
Symmetry-distinct sites (fractional):
K 0.000 0.000 0.500 [3 per cell]
La 0.000 0.000 0.000 [1 per cell]
V 0.500 0.500 0.500 [1 per cell]

## Properties
Formation enthalpy at 0 K   1.637 eV/atom
Crystal system   cubic

2.
First-principles (PBE) data for a relaxed structure of AcGdNi, as listed in Alexandria via LeMat-Bulk.

Lattice parameters (Å, degrees): 7.082 7.082 7.082 90.00 90.00 90.00
Space group F-43m (No. 216)
Symmetry-distinct sites (fractional):
Ac 0.000 0.000 0.000 [4 per cell]
Gd 0.000 0.000 0.500 [4 per cell]
Ni 0.250 0.250 0.750 [4 per cell]

## Properties
Formation enthalpy at 0 K   -0.026 eV/atom
Crystal system   cubic

3.
First-principles (PBE) data for a relaxed structure of DyTe3, as listed in Alexandria via LeMat-Bulk.

Lattice parameters (Å, degrees): 4.321 26.876 4.325 90.00 90.00 90.00
Space group Cmcm (No. 63)
Symmetry-distinct sites (fractional):
Dy 0.000 0.173 0.250 [4 per cell]
Te 0.000 0.078 0.750 [4 per cell]
Te 0.000 0.292 0.250 [4 per cell]
Te 0.000 0.422 0.750 [4 per cell]

## Properties
Crystal system   orthorhombic
Formation energy (no corrections)   -0.92 eV/atom

4.
First-principles (PBE) data for a relaxed structure of Cd6AgPb2, as listed in Alexandria via LeMat-Bulk.

Lattice parameters (Å, degrees): 14.164 9.745 3.268 90.00 103.20 90.00
Space group C2/m (No. 12)
Symmetry-distinct sites (fractional):
Cd 0.000 0.247 0.000 [4 per cell]
Cd 0.184 0.345 0.683 [8 per cell]
Ag 0.000 0.500 0.500 [2 per cell]
Pb 0.131 0.000 0.639 [4 per cell]

## Properties
Formation enthalpy at 0 K   0.031 eV/atom
Crystal system   monoclinic

5.
First-principles (PBE) data for a relaxed structure of AlTcNiCl2, as listed in Alexandria via LeMat-Bulk.

Lattice parameters (Å, degrees): 4.601 4.601 5.020 90.00 90.00 90.00
Space group P4/mmm (No. 123)
Symmetry-distinct sites (fractional):
Al 0.000 0.000 0.000 [1 per cell]
Tc 0.500 0.500 0.500 [1 per cell]
Ni 0.000 0.000 0.500 [1 per cell]
Cl 0.000 0.500 0.000 [2 per cell]

## Properties
Crystal system   tetragonal
Formation energy (no corrections)   0.83 eV/atom

6.
First-principles (PBE) data for a relaxed structure of Tb2CeSmHo4, as listed in Alexandria via LeMat-Bulk.

Lattice parameters (Å, degrees): 6.140 3.542 11.742 90.00 100.07 90.00
Space group P2/m (No. 10)
Symmetry-distinct sites (fractional):
Tb 0.000 0.000 0.000 [1 per cell]
Tb 0.000 0.500 0.500 [1 per cell]
Ce 0.500 0.000 0.500 [1 per cell]
Sm 0.500 0.500 0.000 [1 per cell]
Ho 0.252 0.000 0.749 [2 per cell]
Ho 0.254 0.500 0.253 [2 per cell]

## Properties
Formation enthalpy at 0 K   0.039 eV/atom
Crystal system   monoclinic

7.
First-principles (PBE) data for a relaxed structure of Mn2SeBrN, as listed in Alexandria via LeMat-Bulk.

Lattice parameters (Å, degrees): 3.838 3.838 7.256 90.00 90.00 90.00
Space group P4/mmm (No. 123)
Symmetry-distinct sites (fractional):
Mn 0.000 0.500 0.000 [2 per cell]
Se 0.000 0.000 0.500 [1 per cell]
Br 0.500 0.500 0.500 [1 per cell]
N 0.000 0.000 0.000 [1 per cell]

## Properties
Crystal system   tetragonal
Formation energy (no corrections)   0.42 eV/atom

8.
First-principles (PBE) data for a relaxed structure of ErZnAu, as listed in Alexandria via LeMat-Bulk.

Lattice parameters (Å, degrees): 4.189 4.189 7.142 90.00 90.00 90.00
Space group P4/nmm (No. 129, origin choice 2)
Symmetry-distinct sites (fractional):
Er 0.250 0.250 0.165 [2 per cell]
Zn 0.250 0.750 0.500 [2 per cell]
Au 0.250 0.250 0.752 [2 per cell]

## Properties
Formation enthalpy at 0 K   -0.650 eV/atom
Crystal system   tetragonal